# 1
A plane-wave DFT calculation with PBE-GGA was carried out for a relaxed Sr2PmGa3Au12 crystal.

It has space group R-3m (No. 166, hexagonal axes), with a = 6.9614 Å, b = 6.9614 Å, c = 30.8881 Å, α = 90.00°, β = 90.00° and γ = 120.00°. Symmetry generates all atoms from Sr at (0.0000, 0.0000, 0.1370), Pm at (0.0000, 0.0000, 0.5000), Ga at (0.0000, 0.5000, 0.0000), Au at (0.0495, 0.5247, 0.8934) and Au at (0.0627, 0.5314, 0.6235).

The density comes out at 11.12 g/cm³. Its formation enthalpy at 0 K is -0.29 eV/atom. The value obtained for the size of the total moment is 0.00 μB per cell.



# 2
A plane-wave DFT calculation with PBE-GGA was carried out for a relaxed CdBrF crystal.

It has space group Pmn2_1 (No. 31), with a = 3.893 Å, b = 5.436 Å, c = 6.101 Å, α = 90.00°, β = 90.00° and γ = 90.00°. Symmetry generates all atoms from Cd at (0.000, 0.154, 0.000), Br at (0.000, 0.656, 0.214) and F at (0.000, 0.879, 0.702).

The density comes out at 5.44 g/cm³. Its energy relative to the elements, uncorrected is -1449 meV per atom. The energy above the most stable polymorph in this dataset is 0.172 eV per formula unit. The value obtained for the size of the total moment is 0.00 μB per cell.



# 3
A plane-wave DFT calculation with PBE-GGA was carried out for a relaxed CdTc2Ir crystal.

It has space group P2/m (No. 10), with a = 4.814 Å, b = 2.787 Å, c = 4.952 Å, α = 90.00°, β = 109.46° and γ = 90.00°. Symmetry generates all atoms from Cd at (0.000, 0.000, 0.000), Tc at (0.000, 0.500, 0.500), Tc at (0.500, 0.000, 0.500) and Ir at (0.500, 0.500, 0.000).

The density comes out at 13.27 g/cm³. Its formation enthalpy at 0 K is 0.38 eV/atom. The value obtained for the size of the total moment is 0.00 μB per cell.



# 4
A plane-wave DFT calculation with PBE-GGA was carried out for a relaxed V2ZnCo2 crystal.

It has space group Cmmm (No. 65), with a = 2.684 Å, b = 17.098 Å, c = 2.722 Å, α = 90.00°, β = 90.00° and γ = 90.00°. Symmetry generates all atoms from V at (0.000, 0.187, 0.000), Zn at (0.000, 0.000, 0.000) and Co at (0.000, 0.401, 0.500).

The density comes out at 7.58 g/cm³. Its formation enthalpy at 0 K is 0.04 eV/atom. The value obtained for the size of the total moment is 0.00 μB per cell.



# 5
A plane-wave DFT calculation with PBE-GGA was carried out for a relaxed LaPmNd crystal.

It has space group I4mm (No. 107), with a = 3.697 Å, b = 3.697 Å, c = 15.676 Å, α = 90.00°, β = 90.00° and γ = 90.00°. Symmetry generates all atoms from La at (0.000, 0.000, 0.000), Pm at (0.000, 0.000, 0.333) and Nd at (0.000, 0.000, 0.669).

The density comes out at 6.64 g/cm³. Its formation enthalpy at 0 K is 0.02 eV/atom. The energy above the most stable polymorph in this dataset is 0.018 eV per formula unit. The value obtained for the size of the total moment is 0.00 μB per cell.



# 6
A plane-wave DFT calculation with PBE-GGA was carried out for a relaxed CuAgAs2 crystal.

It has space group F-43m (No. 216), with a = 6.571 Å, b = 6.571 Å, c = 6.571 Å, α = 90.00°, β = 90.00° and γ = 90.00°. Symmetry generates all atoms from Cu at (0.000, 0.000, 0.000), Ag at (0.250, 0.250, 0.250), As at (0.000, 0.000, 0.500) and As at (0.250, 0.250, 0.750).

The density comes out at 7.52 g/cm³. Its formation enthalpy at 0 K is 0.37 eV/atom. The energy above the most stable polymorph in this dataset is 0.842 eV per formula unit. The value obtained for the size of the total moment is 0.00 μB per cell.



# 7
A plane-wave DFT calculation with PBE-GGA was carried out for a relaxed MgCoTe crystal.

It has space group P-6m2 (No. 187), with a = 4.1823 Å, b = 4.1823 Å, c = 3.8924 Å, α = 90.00°, β = 90.00° and γ = 120.00°. Symmetry generates all atoms from Mg at (0.0000, 0.0000, 0.0000), Co at (0.3333, 0.6667, 0.5000) and Te at (0.6667, 0.3333, 0.5000).

The density comes out at 5.94 g/cm³. Its energy relative to the elements, uncorrected is -59 meV per atom. The energy above the most stable polymorph in this dataset is 0.529 eV per formula unit. The value obtained for the size of the total moment is 0.00 μB per cell.



# 8
A plane-wave DFT calculation with PBE-GGA was carried out for a relaxed KBeTeI2 crystal.

It has space group P4/mmm (No. 123), with a = 5.852 Å, b = 5.852 Å, c = 4.856 Å, α = 90.00°, β = 90.00° and γ = 90.00°. Symmetry generates all atoms from K at (0.000, 0.000, 0.000), Be at (0.500, 0.500, 0.500), Te at (0.500, 0.500, 0.000) and I at (0.000, 0.500, 0.500).

The density comes out at 4.29 g/cm³. Its energy relative to the elements, uncorrected is -381 meV per atom. The energy above the most stable polymorph in this dataset is 0.000 eV per formula unit. The value obtained for the size of the total moment is 0.60 μB per cell.



# 9
A plane-wave DFT calculation with PBE-GGA was carried out for a relaxed ReSiAsBr2 crystal.

It has space group P4/mmm (No. 123), with a = 4.905 Å, b = 4.905 Å, c = 5.237 Å, α = 90.00°, β = 90.00° and γ = 90.00°. Symmetry generates all atoms from Re at (0.000, 0.000, 0.000), Si at (0.500, 0.500, 0.500), As at (0.500, 0.500, 0.000) and Br at (0.000, 0.500, 0.500).

The density comes out at 5.92 g/cm³. Its energy relative to the elements, uncorrected is 1280 meV per atom. The energy above the most stable polymorph in this dataset is 1.555 eV per formula unit. The value obtained for the size of the total moment is 4.59 μB per cell.



Number 1: volume 24.01 Å³ per atom. Number 2: volume 21.52 Å³ per atom. Number 3: volume 15.66 Å³ per atom. Number 4: volume 12.49 Å³ per atom. Number 5: volume 35.72 Å³ per atom. Number 6: volume 17.74 Å³ per atom. Number 7: volume 19.65 Å³ per atom. Number 8: volume 33.25 Å³ per atom. Number 9: volume 25.20 Å³ per atom.